DFT (PBE) results for a geometry-optimized U4As3H4 structure.

```
U4As3H4
1.0
5.6904 0.0000 -2.0119
-2.8452 4.9281 -2.0119
0.0000 0.0000 6.0356
U As H
4 3 4
Direct
0.0000 0.5993 0.0000
0.5993 0.0000 0.0000
0.0000 0.0000 0.5993
0.4007 0.4007 0.4007
0.5000 0.5000 0.0000
0.5000 0.0000 0.5000
0.0000 0.5000 0.5000
0.0000 0.2267 0.0000
0.0000 0.0000 0.2267
0.2267 0.0000 0.0000
0.7733 0.7733 0.7733
```

Computed properties:
electronic total energy = -7.03 eV per atom
space-group type = I-43m